First-principles (PBE) data for a relaxed structure of Li3Pr2Ga2, as listed in Alexandria.

a b c (Å): 3.8075 4.3937 10.7994
angles (deg): 101.74 90.00 90.00
Element x y z (fractional)
Pr (0.0000, 0.1646, 0.3291)
Li (0.0000, 0.0000, 0.0000)
Li (0.5000, 0.5685, 0.1371)
Ga (0.5000, 0.7137, 0.4275)
Ga (0.5000, 0.2863, 0.5725)
Li (0.5000, 0.4315, 0.8629)
Pr (0.0000, 0.8354, 0.6709)

Its space group is Cmmm, No. 65. The value obtained for the total magnetization is 0.00 μB per formula unit. For the volume, the calculation gives 177 Å³ per cell. The calculation puts the formation energy at -0.264 eV/atom.


First-principles (PBE) data for a relaxed structure of Li2PrGa6, as listed in Alexandria.

a b c (Å): 4.1620 7.1959 7.2366
angles (deg): 119.81 106.71 90.00
Element x y z (fractional)
Ga (0.5000, 0.8297, 0.0000)
Ga (0.5000, 0.1703, 0.0000)
Ga (0.3055, 0.4932, 0.6109)
Li (0.1156, 0.1156, 0.2311)
Ga (0.6945, 0.8823, 0.3891)
Pr (0.0000, 0.5000, 0.0000)
Li (0.8844, 0.8844, 0.7689)
Ga (0.3055, 0.1177, 0.6109)
Ga (0.6945, 0.5068, 0.3891)

Its space group is Immm, No. 71. The value obtained for the total magnetization is 0.00 μB per formula unit. For the volume, the calculation gives 177 Å³ per cell. The value obtained for the offset from the most stable computed form is 0.0 kJ/mol of formula units. The calculation puts the formation energy at -0.325 eV/atom.